Material: TiGaTc
Method: DFT, PBE
State: relaxed

## Properties
* space-group type: C2/m (12)
* E_tot: -7.5423 eV/atom
* E_form: -446 meV/atom
* relative energy among the computed polymorphs: 74.4 meV/atom

Lattice parameters (Å, degrees): 4.375 3.232 12.890 90.00 94.14 90.00
Fractional positions:
1 Tc 0.727 0.500 0.413
2 Tc 0.273 0.500 0.587
3 Tc 0.727 0.000 0.913
4 Tc 0.273 0.000 0.087
5 Ga 0.746 0.500 0.752
6 Ga 0.746 0.000 0.252
7 Ga 0.254 0.000 0.748
8 Ga 0.254 0.500 0.248
9 Ti 0.232 0.500 0.919
10 Ti 0.768 0.000 0.581
11 Ti 0.232 0.000 0.419
12 Ti 0.768 0.500 0.081

Material: Ti7Ga4Tc
Method: DFT, PBE
State: relaxed

## Properties
* space-group type: C2/m (12)
* E_tot: -6.4892 eV/atom
* E_form: -11 meV/atom

Lattice parameters (Å, degrees): 4.735 7.857 6.381 81.61 68.22 72.46
Each line ends with the local moment (μB).
Fractional positions:
1 Ti 0.500 0.000 0.000  -0.02
2 Ti 0.658 0.412 0.273  -0.09
3 Ti 0.936 0.305 0.823  -0.07
4 Ti 0.219 0.122 0.439  0.42
5 Ti 0.781 0.878 0.561  0.42
6 Ti 0.342 0.588 0.727  -0.09
7 Ti 0.064 0.695 0.177  -0.07
8 Ga 0.289 0.345 0.078  0.00
9 Ga 0.711 0.655 0.922  0.00
10 Ga 0.565 0.229 0.640  0.00
11 Ga 0.435 0.771 0.360  0.00
12 Tc 0.000 0.000 0.000  0.04

Material: Ti5GaTc4
Method: DFT, PBE
State: relaxed

## Properties
* space-group type: P4/mmm (123)
* E_tot: -8.9218 eV/atom
* E_form: -525 meV/atom

Lattice parameters (Å, degrees): 3.146 3.146 15.340 90.00 90.00 90.00
Fractional positions:
1 Ti 0.500 0.500 0.500
2 Ti 0.500 0.500 0.300
3 Ti 0.500 0.500 0.894
4 Ti 0.500 0.500 0.700
5 Ti 0.500 0.500 0.106
6 Tc 0.000 0.000 0.196
7 Tc 0.000 0.000 0.399
8 Tc 0.000 0.000 0.804
9 Tc 0.000 0.000 0.601
10 Ga 0.000 0.000 0.000

Material: Ti6Ga3Tc
Method: DFT, PBE
State: relaxed

## Properties
* space-group type: P2_1/m (11)
* E_tot: -7.1052 eV/atom
* E_form: -424 meV/atom

Lattice parameters (Å, degrees): 4.571 7.620 9.667 109.19 90.00 90.00
Fractional positions:
1 Ga 0.750 0.226 0.015
2 Ga 0.250 0.774 0.985
3 Ga 0.250 0.544 0.389
4 Ga 0.250 0.355 0.787
5 Ga 0.750 0.456 0.611
6 Ga 0.750 0.645 0.213
7 Ti 0.250 0.154 0.188
8 Ti 0.750 0.937 0.118
9 Ti 0.750 0.342 0.310
10 Ti 0.750 0.846 0.812
11 Ti 0.750 0.143 0.697
12 Ti 0.250 0.063 0.882
13 Ti 0.250 0.457 0.089
14 Ti 0.250 0.658 0.690
15 Ti 0.250 0.239 0.492
16 Ti 0.750 0.543 0.911
17 Ti 0.750 0.761 0.508
18 Ti 0.250 0.857 0.303
19 Tc 0.250 0.950 0.598
20 Tc 0.750 0.050 0.402

Material: TiGa2Tc
Method: DFT, PBE
State: relaxed

## Properties
* space-group type: P2_1/m (11)
* E_tot: -6.4307 eV/atom
* E_form: -352 meV/atom
* relative energy among the computed polymorphs: 0.0 meV/atom

Lattice parameters (Å, degrees): 4.692 4.634 5.551 90.00 90.00 83.36
Fractional positions:
1 Ga 0.752 0.697 0.607
2 Ga 0.752 0.697 0.109
3 Ga 0.150 0.270 0.609
4 Ga 0.150 0.270 0.107
5 Tc 0.650 0.193 0.858
6 Tc 0.252 0.773 0.358
7 Ti 0.266 0.774 0.858
8 Ti 0.636 0.193 0.358

Material: TiGaTc
Method: DFT, PBE
State: relaxed

## Properties
* space-group type: Cm (8)
* E_tot: -7.4822 eV/atom
* E_form: -386 meV/atom
* relative energy among the computed polymorphs: 134.5 meV/atom

Lattice parameters (Å, degrees): 5.401 4.504 8.781 90.00 121.84 90.00
Fractional positions:
1 Ti 0.947 0.500 0.278
2 Ti 0.463 0.500 0.619
3 Ti 0.463 0.000 0.119
4 Ti 0.947 0.000 0.778
5 Tc 0.473 0.500 0.960
6 Tc 0.962 0.000 0.132
7 Tc 0.473 0.000 0.460
8 Tc 0.962 0.500 0.632
9 Ga 0.981 0.500 0.963
10 Ga 0.463 0.500 0.298
11 Ga 0.463 0.000 0.798
12 Ga 0.981 0.000 0.463

Material: Ti2Ga2Tc3
Method: DFT, PBE
State: relaxed

## Properties
* space-group type: C2/m (12)
* E_tot: -7.9130 eV/atom
* E_form: -350 meV/atom

Lattice parameters (Å, degrees): 4.438 5.261 4.999 83.74 90.00 114.95
Fractional positions:
1 Tc 0.000 0.000 0.000
2 Tc 0.710 0.419 0.134
3 Tc 0.290 0.581 0.866
4 Ti 0.426 0.852 0.273
5 Ti 0.574 0.148 0.727
6 Ga 0.139 0.279 0.421
7 Ga 0.861 0.721 0.579

Material: Ti2GaTc
Method: DFT, PBE
State: relaxed

## Properties
* space-group type: Fm-3m (225)
* E_tot: -7.7628 eV/atom
* E_form: -467 meV/atom

Lattice parameters (Å, degrees): 4.431 4.431 4.431 60.00 60.00 60.00
Fractional positions:
1 Ga 0.250 0.250 0.250
2 Ti 0.000 0.000 0.000
3 Ti 0.500 0.500 0.500
4 Tc 0.750 0.750 0.750

Material: TiGa6Tc
Method: DFT, PBE
State: relaxed

## Properties
* space-group type: C2/m (12)
* E_tot: -4.5999 eV/atom
* E_form: -47 meV/atom

Lattice parameters (Å, degrees): 5.126 5.126 7.443 59.51 59.51 87.31
Fractional positions:
1 Ga 0.800 0.163 0.333
2 Ga 0.837 0.200 0.667
3 Ga 0.200 0.837 0.667
4 Ga 0.584 0.584 0.090
5 Ga 0.416 0.416 0.910
6 Ga 0.163 0.800 0.333
7 Ti 0.000 0.000 0.000
8 Tc 0.500 0.500 0.500

Material: TiGa2Tc
Method: DFT, PBE
State: relaxed

## Properties
* space-group type: P-3m1 (164)
* E_tot: -6.2891 eV/atom
* E_form: -210 meV/atom
* relative energy among the computed polymorphs: 141.7 meV/atom

Lattice parameters (Å, degrees): 2.887 2.887 8.651 90.00 90.00 60.04
Fractional positions:
1 Ga 0.959 0.959 0.760
2 Ga 0.291 0.291 0.240
3 Tc 0.625 0.625 0.000
4 Ti 0.625 0.625 0.500

Material: TiGaTc
Method: DFT, PBE
State: relaxed

## Properties
* space-group type: P3m1 (156)
* E_tot: -7.4478 eV/atom
* E_form: -352 meV/atom
* relative energy among the computed polymorphs: 168.9 meV/atom

Lattice parameters (Å, degrees): 2.744 4.371 4.371 120.00 90.00 90.00
Fractional positions:
1 Tc 0.645 0.333 0.667
2 Ga 0.979 0.000 0.000
3 Ti 0.376 0.667 0.333

Material: TiGa3Tc
Method: DFT, PBE
State: relaxed

## Properties
* space-group type: P2_1/m (11)
* E_tot: -5.6967 eV/atom
* E_form: -228 meV/atom
* relative energy among the computed polymorphs: 0.0 meV/atom

Lattice parameters (Å, degrees): 4.795 5.107 6.789 90.00 107.45 90.00
Fractional positions:
1 Ga 0.454 0.250 0.154
2 Ga 0.800 0.501 0.608
3 Ga 0.200 0.499 0.392
4 Ga 0.800 0.999 0.608
5 Ga 0.200 0.001 0.392
6 Ga 0.546 0.750 0.846
7 Tc 0.309 0.250 0.746
8 Tc 0.691 0.750 0.254
9 Ti 0.853 0.250 0.967
10 Ti 0.147 0.750 0.033